This record from Alexandria describes crystalline SrGe3Ru2 at its relaxed geometry. The functional is GGA-PBE.

The space group is Cmcm (No. 63) and the conventional cell measures 10.2396, 7.6912 and 5.7685 Å, with angles of 90.00, 90.00 and 90.00 degrees. Symmetry generates all atoms from Sr at (0.0000, 0.1578, 0.2500), Ge at (0.0000, 0.4345, 0.7500), Ge at (0.1877, 0.2105, 0.7500) and Ru at (0.1950, 0.5000, 0.0000).

The value obtained for the magnetic moment is 0.000 Bohr magnetons per cell. Its formation energy from the elements is -0.37 eV per atom.

This record from Alexandria describes crystalline CeNdGeRu at its relaxed geometry. The functional is GGA-PBE.

The space group is P4/nmm (No. 129, origin choice 2) and the conventional cell measures 4.5899, 4.5899 and 9.9556 Å, with angles of 90.00, 90.00 and 90.00 degrees. Symmetry generates all atoms from Ce at (0.2500, 0.7500, 0.0000), Nd at (0.2500, 0.2500, 0.3372), Ge at (0.2500, 0.2500, 0.6265) and Ru at (0.2500, 0.2500, 0.8689).

The value obtained for the magnetic moment is 0.000 Bohr magnetons per cell. Its formation energy from the elements is -0.32 eV per atom.

This record from Alexandria describes crystalline Tl2H2Pd5 at its relaxed geometry. The functional is GGA-PBE.

The space group is C2/m (No. 12) and the conventional cell measures 10.9238, 4.2363 and 6.3168 Å, with angles of 90.00, 108.44 and 90.00 degrees. Symmetry generates all atoms from Tl at (0.1057, 0.0000, 0.3423), H at (0.1597, 0.5000, 0.9547), Pd at (0.0000, 0.5000, 0.0000), Pd at (0.1247, 0.5000, 0.6391) and Pd at (0.1608, 0.0000, 0.9397).

The value obtained for the magnetic moment is 0.000 Bohr magnetons per cell. The calculation puts the raw total energy at -38.37 eV/f.u.

This record from Alexandria describes crystalline BiSbAu at its relaxed geometry. The functional is GGA-PBE.

The space group is F-43m (No. 216) and the conventional cell measures 6.9852, 6.9852 and 6.9852 Å, with angles of 90.00, 90.00 and 90.00 degrees. Symmetry generates all atoms from Bi at (0.0000, 0.0000, 0.0000), Sb at (0.0000, 0.0000, 0.5000) and Au at (0.2500, 0.2500, 0.7500).

The value obtained for the uncorrected formation energy is 0.115 kcal/mol of atoms. As for the excess energy over the best structure of this formula in the dataset: 0.0499 eV/atom. The value obtained for the magnetic moment is 0.000 Bohr magnetons per cell.

This record from Alexandria describes crystalline Zr6GaRh5 at its relaxed geometry. The functional is GGA-PBE.

The space group is Immm (No. 71) and the conventional cell measures 4.6587, 6.6229 and 14.1950 Å, with angles of 90.00, 90.00 and 90.00 degrees. Symmetry generates all atoms from Zr at (0.0000, 0.2413, 0.0000), Zr at (0.0000, 0.2514, 0.3304), Ga at (0.0000, 0.0000, 0.5000), Rh at (0.0000, 0.0000, 0.1697), Rh at (0.0000, 0.5000, 0.1486) and Rh at (0.0000, 0.5000, 0.5000).

The value obtained for the magnetic moment is 0.000 Bohr magnetons per cell. Its formation energy from the elements is -0.69 eV per atom.

This record from Alexandria describes crystalline Th5RuAu2 at its relaxed geometry. The functional is GGA-PBE.

The space group is Cmcm (No. 63) and the conventional cell measures 5.4736, 11.0242 and 15.0843 Å, with angles of 90.00, 90.00 and 90.00 degrees. Symmetry generates all atoms from Th at (0.0000, 0.0842, 0.1046), Th at (0.0000, 0.2535, 0.7500), Th at (0.0000, 0.4140, 0.1033), Ru at (0.0000, 0.2501, 0.2500) and Au at (0.0000, 0.2481, 0.5561).

As for the excess energy over the best structure of this formula in the dataset: 0.1869 eV/atom. The value obtained for the magnetic moment is 0.000 Bohr magnetons per cell. Its formation energy from the elements is -0.26 eV per atom.

This record from Alexandria describes crystalline K2TlCr at its relaxed geometry. The functional is GGA-PBE.

The space group is P4/mmm (No. 123) and the conventional cell measures 5.0162, 5.0162 and 5.6598 Å, with angles of 90.00, 90.00 and 90.00 degrees. Symmetry generates all atoms from K at (0.0000, 0.5000, 0.0000), Tl at (0.0000, 0.0000, 0.5000) and Cr at (0.5000, 0.5000, 0.5000).

As for the excess energy over the best structure of this formula in the dataset: 0.1689 eV/atom. The value obtained for the magnetic moment is 4.842 Bohr magnetons per cell. Its formation energy from the elements is 0.59 eV per atom.

This record from Alexandria describes crystalline PS at its relaxed geometry. The functional is GGA-PBE.

The space group is P1 (No. 1) and the conventional cell measures 3.7835, 4.9902 and 5.0863 Å, with angles of 64.62, 89.85 and 67.86 degrees. Symmetry generates all atoms from P at (0.0000, 0.0000, 0.0000), P at (0.4557, 0.0879, 0.2633), S at (0.2169, 0.5863, 0.9158) and S at (0.8450, 0.3125, 0.5567).

The value obtained for the uncorrected formation energy is 2.840 kcal/mol of atoms. As for the excess energy over the best structure of this formula in the dataset: 0.2606 eV/atom. The value obtained for the magnetic moment is 0.000 Bohr magnetons per cell.